No. 1
The following is a GGA-PBE calculation of a geometry-optimized TmNpSc structure, from Alexandria via LeMat-Bulk.

Properties
DOS(E_F) = 6.71 states/eV/f.u.
ΔE to the lowest computed polymorph = 0.124 eV per atom
calculated formation energy = 0.32 eV/atom
magnetic moment = 3.7 μB per formula unit

abc: 3.2555 3.2555 8.2969
angles: 90.00 90.00 120.00
Fractional coordinates of all 3 atoms:
Np 0.3333 0.6667 0.6738
Sc 0.0000 0.0000 0.9915
Tm 0.6667 0.3333 0.3347

No. 2
The following is a GGA-PBE calculation of a geometry-optimized RbLi2Sb2 structure, from Alexandria via LeMat-Bulk.

Properties
ΔE_f (raw) = -0.406 eV/atom
DOS(E_F) = 2.56 states/eV/f.u.
ΔE to the lowest computed polymorph = 0.049 eV per atom
magnetic moment = 0.0 μB per formula unit

abc: 5.8354 6.7498 8.4981
angles: 81.45 69.92 64.33
Fractional coordinates of all 10 atoms:
Rb 0.8750 0.7500 0.2500
Rb 0.1250 0.2500 0.7500
Li 0.4807 0.7500 0.0387
Li 0.7307 0.2500 0.5387
Li 0.5193 0.2500 0.9613
Li 0.2693 0.7500 0.4613
Sb 0.5743 0.3518 0.2499
Sb 0.8243 0.8517 0.7501
Sb 0.1757 0.1483 0.2499
Sb 0.4257 0.6482 0.7501

No. 3
The following is a GGA-PBE calculation of a geometry-optimized PuZr2Ta structure, from Alexandria via LeMat-Bulk.

Properties
DOS(E_F) = 7.35 states/eV/f.u.
ΔE to the lowest computed polymorph = 0.000 eV per atom
calculated formation energy = 0.18 eV/atom
magnetic moment = 5.9 μB per formula unit

abc: 3.4065 3.4065 7.7114
angles: 90.00 90.00 90.00
Fractional coordinates of all 4 atoms:
Ta 0.5000 0.5000 0.0000
Zr 0.0000 0.0000 0.7790
Zr 0.0000 0.0000 0.2210
Pu 0.5000 0.5000 0.5000

No. 4
The following is a GGA-PBE calculation of a geometry-optimized Pr12Cu6Ni structure, from Alexandria via LeMat-Bulk.

Properties
DOS(E_F) = 27.04 states/eV/f.u.
calculated formation energy = 0.06 eV/atom
magnetic moment = 0.0 μB per formula unit

abc: 8.4013 8.4013 8.4013
angles: 98.21 98.21 98.21
Fractional coordinates of all 19 atoms:
Pr 0.8110 0.5837 0.4318
Pr 0.4318 0.8110 0.5837
Pr 0.5837 0.4318 0.8110
Pr 0.1890 0.4163 0.5682
Pr 0.5682 0.1890 0.4163
Pr 0.4163 0.5682 0.1890
Pr 0.0825 0.9644 0.3198
Pr 0.0356 0.6802 0.9175
Pr 0.6802 0.9175 0.0356
Pr 0.9175 0.0356 0.6802
Pr 0.9644 0.3198 0.0825
Pr 0.3198 0.0825 0.9644
Cu 0.6900 0.8710 0.3711
Cu 0.6289 0.3100 0.1290
Cu 0.1290 0.6289 0.3100
Cu 0.3100 0.1290 0.6289
Cu 0.3711 0.6900 0.8710
Cu 0.8710 0.3711 0.6900
Ni 0.0000 0.0000 0.0000

No. 5
The following is a GGA-PBE calculation of a geometry-optimized MnCd4Ag structure, from Alexandria via LeMat-Bulk.

Properties
DOS(E_F) = 2.87 states/eV/f.u.
calculated formation energy = 0.31 eV/atom
magnetic moment = 4.3 μB per formula unit

abc: 5.6415 5.6415 5.6415
angles: 60.00 60.00 60.00
Fractional coordinates of all 6 atoms:
Mn 0.7500 0.7500 0.7500
Cd 0.3751 0.8747 0.3751
Cd 0.8747 0.3751 0.3751
Cd 0.3751 0.3751 0.8747
Cd 0.3751 0.3751 0.3751
Ag 0.0000 0.0000 0.0000

No. 6
The following is a GGA-PBE calculation of a geometry-optimized InNi2PbN structure, from Alexandria via LeMat-Bulk.

Properties
ΔE_f (raw) = 0.496 eV/atom
DOS(E_F) = 2.24 states/eV/f.u.
magnetic moment = 0.0 μB per formula unit

abc: 3.9909 5.2278 3.9909
angles: 90.00 90.00 90.00
Fractional coordinates of all 5 atoms:
Pb 0.0000 0.5000 0.0000
Ni 0.0000 0.0000 0.5000
Ni 0.5000 0.0000 0.0000
N 0.0000 0.0000 0.0000
In 0.5000 0.5000 0.5000

No. 7
The following is a GGA-PBE calculation of a geometry-optimized PuAlGa2Cu structure, from Alexandria via LeMat-Bulk.

Properties
DOS(E_F) = 11.83 states/eV/f.u.
calculated formation energy = -0.29 eV/atom
magnetic moment = 5.5 μB per formula unit

abc: 4.0806 4.0806 6.2044
angles: 109.20 109.20 90.00
Fractional coordinates of all 5 atoms:
Pu 0.0000 0.0000 0.0000
Al 0.7500 0.2500 0.5000
Ga 0.6129 0.6129 0.2257
Ga 0.3871 0.3871 0.7743
Cu 0.2500 0.7500 0.5000

No. 8
The following is a GGA-PBE calculation of a geometry-optimized TaCrIr2 structure, from Alexandria via LeMat-Bulk.

Properties
DOS(E_F) = 2.52 states/eV/f.u.
ΔE to the lowest computed polymorph = 0.072 eV per atom
calculated formation energy = -0.37 eV/atom
magnetic moment = 1.8 μB per formula unit

abc: 4.8362 4.8362 4.8362
angles: 132.88 132.87 68.85
Fractional coordinates of all 4 atoms:
Cr 0.2500 0.7500 0.5000
Ir 0.0000 0.0000 0.0000
Ir 0.7500 0.2500 0.5000
Ta 0.5000 0.5000 0.0000

No. 9
The following is a GGA-PBE calculation of a geometry-optimized InCu2Sb structure, from Alexandria via LeMat-Bulk.

Properties
ΔE_f (raw) = 0.048 eV/atom
DOS(E_F) = 1.19 states/eV/f.u.
magnetic moment = 0.0 μB per formula unit

abc: 4.0178 3.8156 5.2451
angles: 68.61 90.00 90.00
Fractional coordinates of all 4 atoms:
Cu 0.0000 0.2042 0.9661
Cu 0.5000 0.0481 0.2780
In 0.0000 0.4820 0.4107
Sb 0.5000 0.7656 0.8453

No. 10
The following is a GGA-PBE calculation of a geometry-optimized MgTc structure, from Alexandria via LeMat-Bulk.

Properties
DOS(E_F) = 1.30 states/eV/f.u.
ΔE to the lowest computed polymorph = 0.227 eV per atom
calculated formation energy = 0.20 eV/atom
magnetic moment = 0.0 μB per formula unit

abc: 2.8151 5.2704 4.4327
angles: 90.00 90.00 90.00
Fractional coordinates of all 4 atoms:
Mg 0.0000 0.9816 0.0000
Mg 0.0000 0.6850 0.5000
Tc 0.5000 0.4498 0.0000
Tc 0.5000 0.2169 0.5000

No. 11
The following is a GGA-PBE calculation of a geometry-optimized ScAsIr structure, from Alexandria via LeMat-Bulk.

Properties
DOS(E_F) = 1.44 states/eV/f.u.
calculated formation energy = -0.52 eV/atom
magnetic moment = 0.0 μB per formula unit

abc: 5.7806 5.7805 3.0819
angles: 74.54 74.54 30.92
Fractional coordinates of all 3 atoms:
As 0.9870 0.9870 0.0130
Ir 0.3421 0.3422 0.6579
Sc 0.6709 0.6708 0.3291

No. 12
The following is a GGA-PBE calculation of a geometry-optimized AsRu3Pt structure, from Alexandria via LeMat-Bulk.

Properties
DOS(E_F) = 12.14 states/eV/f.u.
ΔE to the lowest computed polymorph = 0.803 eV per atom
calculated formation energy = 1.90 eV/atom
magnetic moment = 4.5 μB per formula unit

abc: 4.7754 4.7754 4.7754
angles: 90.00 90.00 90.00
Fractional coordinates of all 5 atoms:
Ru 0.0000 0.5000 0.0000
Ru 0.0000 0.0000 0.5000
Ru 0.5000 0.0000 0.0000
As 0.5000 0.5000 0.5000
Pt 0.0000 0.0000 0.0000